No. 1
LaCrPO2 | PBE with a Hubbard U | optimized geometry

Cell and atoms, written as CIF:
```
data_LaCrPO2
_cell_length_a 4.0788
_cell_length_b 4.0788
_cell_length_c 4.6102
_cell_angle_alpha 90.00
_cell_angle_beta 90.00
_cell_angle_gamma 90.00
_space_group_name_H-M_alt 'P 4/m m m'
_space_group_IT_number 123
_space_group_name_Hall '-P 4 2'
loop_
_atom_site_label
_atom_site_type_symbol
_atom_site_fract_x
_atom_site_fract_y
_atom_site_fract_z
_atom_site_occupancy
La1 La 0.0000 0.0000 0.0000 1
Cr1 Cr 0.5000 0.5000 0.5000 1
P1 P 0.5000 0.5000 0.0000 1
O1 O 0.0000 0.5000 0.5000 1
```

Calculated values
Energy above the lowest structure with this stoichiometry, meV per atom: 0
Crystal system: tetragonal
N(E_F), states/eV/atom: 0.6765


No. 2
Tb2GaCoO6 | PBE with a Hubbard U | optimized geometry

Cell and atoms, written as CIF:
```
data_Tb2GaCoO6
_cell_length_a 5.2690
_cell_length_b 5.5328
_cell_length_c 9.1645
_cell_angle_alpha 90.00
_cell_angle_beta 124.67
_cell_angle_gamma 90.00
_space_group_name_H-M_alt 'P 1 21/c 1'
_space_group_IT_number 14
loop_
_space_group_symop_operation_xyz
'x,y,z'
'-x,-y,-z'
'-x,y+1/2,-z+1/2'
'x,-y+1/2,z+1/2'
loop_
_atom_site_label
_atom_site_type_symbol
_atom_site_fract_x
_atom_site_fract_y
_atom_site_fract_z
_atom_site_occupancy
Tb1 Tb 0.2318 0.0675 0.2499 1
Ga1 Ga 0.5000 0.0000 0.0000 1
Co1 Co 0.0000 0.0000 0.5000 1
O1 O 0.1409 0.2031 0.9480 1
O2 O 0.2485 0.6972 0.9488 1
O3 O 0.3474 0.0293 0.7469 1
```

Calculated values
Crystal system: monoclinic
N(E_F), states/eV/atom: 0.0000


For each record above, in turn, the calculated E_tot values are -6.98; -7.19 eV/atom.